[1]
A plane-wave DFT calculation with PBE was carried out for crystalline Zr2V2Ni at its relaxed geometry.

Summary:
As for the energy relative to the elements: 103.6 meV per atom. The calculation puts the energy at -8.119 eV/atom. For the density of states at the Fermi level, the calculation gives 6.35 states/eV/f.u. The value obtained for the theoretical density is 6.66 g cm⁻³. As for the total magnetic moment: 0.000 Bohr magnetons per cell.

Cell: 6.398 6.398 4.178 Å, 90.00 90.00 90.00°
Space group P4/mbm (No. 127)
Inequivalent atoms, fractional coordinates:
Zr 0.174 0.326 0.000
V 0.134 0.634 0.500
Ni 0.000 0.000 0.500

[2]
A plane-wave DFT calculation with PBE was carried out for crystalline ZrVNi4 at its relaxed geometry.

Summary:
As for the energy relative to the elements: -262.4 meV per atom. The calculation puts the energy at -7.061 eV/atom. For the density of states at the Fermi level, the calculation gives 6.63 states/eV/f.u. The value obtained for the theoretical density is 7.92 g cm⁻³. As for the total magnetic moment: 12.104 Bohr magnetons per cell.

Cell: 6.812 6.812 6.812 Å, 90.00 90.00 90.00°
Space group F-43m (No. 216)
Inequivalent atoms, fractional coordinates:
Zr 0.000 0.000 0.000
V 0.250 0.250 0.750
Ni 0.124 0.124 0.376

[3]
A plane-wave DFT calculation with PBE was carried out for crystalline ZrVNi3 at its relaxed geometry.

Summary:
As for the energy relative to the elements: 474.6 meV per atom. The calculation puts the energy at -6.528 eV/atom. For the density of states at the Fermi level, the calculation gives 5.10 states/eV/f.u. The value obtained for the theoretical density is 6.70 g cm⁻³. As for the total magnetic moment: 0.001 Bohr magnetons per cell.

Cell: 4.289 4.289 4.289 Å, 90.00 90.00 90.00°
Space group Pm-3m (No. 221)
Inequivalent atoms, fractional coordinates:
Zr 0.000 0.000 0.000
V 0.500 0.500 0.500
Ni 0.000 0.500 0.500

[4]
A plane-wave DFT calculation with PBE was carried out for crystalline ZrVNi3 at its relaxed geometry.

Summary:
As for the energy relative to the elements: 1220.9 meV per atom. The calculation puts the energy at -5.781 eV/atom. For the density of states at the Fermi level, the calculation gives 5.61 states/eV/f.u. The value obtained for the theoretical density is 5.65 g cm⁻³. As for the total magnetic moment: 3.080 Bohr magnetons per cell.

Cell: 4.539 4.539 4.539 Å, 90.00 90.00 90.00°
Space group Pm-3m (No. 221)
Inequivalent atoms, fractional coordinates:
Zr 0.000 0.000 0.000
V 0.500 0.500 0.500
Ni 0.000 0.000 0.500